Compound: BaBr7
Source: the Alexandria database
Functional: PBE
Structure: optimized geometry

final energy = -2.04 eV per atom
energy relative to the elements, uncorrected = -338 meV per atom
spin magnetization = 1.21 μB/f.u.
volume = 236.8 Å³/f.u.

POSCAR file:
```
BaBr7
1.0
1.834 1.622 6.498
-4.799 0.202 5.015
-0.062 -4.875 4.945
Br Ba
7 1
Cartesian
-2.431 -2.336 4.980 Br
0.886 -1.626 5.721 Br
-0.031 -2.437 2.472 Br
-2.400 0.101 2.507 Br
-1.483 0.912 5.756 Br
-1.514 -1.525 8.229 Br
0.917 0.811 3.249 Br
0.000 0.000 0.000 Ba
```

Compound: SmDy6Y4
Source: the Alexandria database
Functional: PBE
Structure: optimized geometry

final energy = -4.99 eV per atom
calculated formation energy = 305 meV/atom
polymorph energy (0 for the lowest one) = 0 meV/atom
spin magnetization = 0.00 μB/f.u.
volume = 368.4 Å³/f.u.

POSCAR file:
```
SmDy6Y4
1.0
7.448 -3.001 -5.529
-5.171 8.022 1.987
-1.935 3.001 9.072
Dy Y Sm
6 4 1
Cartesian
-5.056 7.844 5.703 Dy
1.138 2.511 -1.771 Dy
-3.900 6.050 8.234 Dy
3.428 0.179 -1.439 Dy
-1.237 4.974 4.090 Dy
2.757 0.000 1.771 Dy
-2.355 9.009 7.460 Y
0.215 2.863 1.931 Y
-3.326 5.159 1.380 Y
-1.299 2.015 5.817 Y
0.000 0.000 0.000 Sm
```